(1)
An optimized crystal structure of MnNb6In, computed with GGA-PBE.

The structure in POSCAR format:
```
MnNb6In
1.0
7.399 0.009 0.215
3.691 6.415 0.059
3.608 2.164 3.114
Nb Mn In
6 1 1
Direct
0.000 0.500 0.742
0.500 0.241 0.259
0.759 0.000 0.741
0.000 0.500 0.258
0.241 0.000 0.259
0.500 0.759 0.741
0.000 0.000 0.000
0.500 0.500 0.500
```

## Properties
The value obtained for the energy of formation is 0.0007 eV per atom. Its volume is 144 Å³ per cell. The space group is Pm-3. The value obtained for the energy is -9.040 eV per atom.

(2)
An optimized crystal structure of LaPmSbTe, computed with GGA-PBE.

The structure in POSCAR format:
```
LaPmSbTe
1.0
5.535 0.000 0.000
2.767 4.793 0.000
2.767 1.598 4.519
Pm Te Sb La
1 1 1 1
Direct
0.500 0.500 0.500
0.250 0.250 0.250
0.750 0.750 0.750
0.000 0.000 0.000
```

## Properties
Its volume is 120 Å³ per cell. The space group is F-43m. The value obtained for the energy is -5.408 eV per atom. The calculation puts the energy relative to the elements, uncorrected at -113.12 kJ/mol of atoms.

(3)
An optimized crystal structure of AlMoAu2, computed with GGA-PBE.

The structure in POSCAR format:
```
AlMoAu2
1.0
-0.942 -3.234 3.439
-3.273 -2.861 -2.067
4.300 1.296 -1.733
Au Mo Al
2 1 1
Direct
0.250 0.750 0.500
0.000 0.000 0.000
0.500 0.500 0.000
0.750 0.250 0.500
```

## Properties
The value obtained for the energy of formation is 0.1463 eV per atom. Its volume is 68 Å³ per cell. The space group is I-4m2. The value obtained for the energy is -5.136 eV per atom.

(4)
An optimized crystal structure of Li5ZnCd6, computed with GGA-PBE.

The structure in POSCAR format:
```
Li5ZnCd6
1.0
4.500 0.016 -1.312
-0.911 5.860 -3.053
-0.099 0.377 8.041
Cd Li Zn
6 5 1
Direct
0.832 0.579 0.663
0.500 0.746 0.000
0.168 0.421 0.337
0.168 0.916 0.337
0.832 0.084 0.663
0.500 0.254 0.000
0.000 0.500 0.000
0.333 0.333 0.666
0.666 0.166 0.332
0.667 0.667 0.334
0.334 0.834 0.668
0.000 0.000 0.000
```

## Properties
The value obtained for the energy of formation is -0.2198 eV per atom. Its volume is 217 Å³ per cell. The space group is Immm. The value obtained for the energy is -1.581 eV per atom.

(5)
An optimized crystal structure of SrMg2, computed with GGA-PBE.

The structure in POSCAR format:
```
SrMg2
1.0
-3.370 1.711 4.311
1.982 -5.378 -0.128
5.458 1.928 3.501
Sr Mg
2 4
Direct
0.667 0.333 0.750
0.333 0.667 0.250
0.000 0.000 0.500
0.667 0.333 0.250
0.333 0.667 0.750
0.000 0.000 0.000
```

## Properties
The value obtained for the energy of formation is 0.0367 eV per atom. Its volume is 193 Å³ per cell. The space group is P6_3/mmc. The value obtained for the energy is -1.587 eV per atom.

(6)
An optimized crystal structure of DySc6Te8, computed with GGA-PBE.

The structure in POSCAR format:
```
DySc6Te8
1.0
-4.923 5.743 3.474
-2.348 -0.788 7.947
3.056 5.159 5.774
Te Sc Dy
8 6 1
Direct
0.261 0.739 0.739
0.261 0.261 0.739
0.750 0.750 0.750
0.739 0.261 0.261
0.739 0.261 0.739
0.250 0.250 0.250
0.261 0.739 0.261
0.739 0.739 0.261
0.000 0.000 0.500
0.500 0.000 0.000
0.000 0.500 0.000
0.500 0.500 0.000
0.000 0.500 0.500
0.500 0.000 0.500
0.000 0.000 0.000
```

## Properties
Its volume is 408 Å³ per cell. The space group is Fm-3m. The value obtained for the energy is -5.717 eV per atom. The calculation puts the energy relative to the elements, uncorrected at -115.96 kJ/mol of atoms.

(7)
An optimized crystal structure of TaTiNbRu, computed with GGA-PBE.

The structure in POSCAR format:
```
TaTiNbRu
1.0
-2.452 -1.368 -0.913
1.534 -2.474 -0.412
-0.347 -1.544 8.025
Ta Ti Nb Ru
1 1 1 1
Direct
0.653 0.930 0.307
0.444 0.929 0.889
0.290 0.429 0.580
0.043 0.430 0.085
```

## Properties
The value obtained for the energy of formation is -0.0150 eV per atom. Its volume is 70 Å³ per cell. The space group is Amm2. The value obtained for the energy is -9.788 eV per atom. The excess energy over the best structure of this formula in the dataset comes out at 267 meV/atom.

(8)
An optimized crystal structure of Sb, computed with GGA-PBE.

The structure in POSCAR format:
```
Sb
1.0
3.527 0.000 0.000
-1.763 3.054 0.000
0.000 0.000 5.104
Sb
2
Direct
0.333 0.667 0.250
0.667 0.333 0.750
```

## Properties
Its volume is 55 Å³ per cell. The space group is P6_3/mmc. The value obtained for the energy is -3.840 eV per atom. The excess energy over the best structure of this formula in the dataset comes out at 283 meV/atom. The calculation puts the energy relative to the elements, uncorrected at 27.26 kJ/mol of atoms.

- Which value of energy does entry 2 give?
  -5.408 eV per atom